DFT (PBE-GGA) results for crystalline SmTh4Sc4 at its relaxed geometry.

Unit cell a=4.845 b=7.727 c=7.727 alpha=84.36 beta=71.73 gamma=71.73
Element x y z (fractional)
Th1 0.670 0.660 0.000
Th2 0.330 0.340 0.000
Th3 0.670 0.000 0.660
Th4 0.330 0.000 0.340
Sm1 0.000 0.000 0.000
Sc1 0.660 0.339 0.340
Sc2 0.000 0.340 0.661
Sc3 0.000 0.660 0.339
Sc4 0.340 0.661 0.660

Results
* energy of formation: 59 meV/atom